[1]
A relaxed InRu2Pt crystal. Source: the Alexandria database, functional PBE-GGA.

abc: 9.105 9.105 9.105
angles: 18.11 18.11 18.11
Positions (direct):
Ru: 0.498 0.498 0.498
Ru: 0.002 0.002 0.002
Pt: 0.750 0.750 0.750
In: 0.250 0.250 0.250

Results
calculated total energy: -6.5617 eV/atom
symmetry: R-3m (166)

---

[2]
A relaxed InRuPt2 crystal. Source: the Alexandria database, functional PBE-GGA.

abc: 4.178 3.939 3.939
angles: 90.00 90.00 90.00
Positions (direct):
Ru: 0.500 0.500 0.000
In: 0.500 0.000 0.500
Pt: 0.000 0.000 0.000
Pt: 0.000 0.500 0.500

Results
calculated total energy: -6.1269 eV/atom
symmetry: P4/mmm (123)

---

[3]
A relaxed InRu2Pt crystal. Source: the Alexandria database, functional PBE-GGA.

abc: 4.794 4.794 4.998
angles: 79.33 79.33 34.53
Positions (direct):
Pt: 0.250 0.250 0.250
Ru: 0.502 0.502 0.473
Ru: 0.998 0.998 0.027
In: 0.750 0.750 0.750

Results
calculated total energy: -6.7337 eV/atom
symmetry: C2/m (12)

---

[4]
A relaxed InRuPt crystal. Source: the Alexandria database, functional PBE-GGA.

abc: 5.007 5.007 5.007
angles: 146.25 133.54 58.64
Positions (direct):
Pt: 0.330 0.330 0.000
Ru: 0.669 0.669 0.000
In: 0.001 0.001 0.000

Results
calculated total energy: -5.9297 eV/atom
symmetry: Imm2 (44)

---

[5]
A relaxed InRu2Pt crystal. Source: the Alexandria database, functional PBE-GGA.

abc: 3.240 3.240 6.110
angles: 90.00 90.00 90.00
Positions (direct):
Pt: 0.500 0.500 0.750
Ru: 0.000 0.000 0.982
Ru: 0.000 0.000 0.518
In: 0.500 0.500 0.250

Results
calculated total energy: -6.6187 eV/atom
symmetry: P4/mmm (123)

---

[6]
A relaxed In3RuPt crystal. Source: the Alexandria database, functional PBE-GGA.

abc: 5.038 5.038 5.038
angles: 90.00 90.00 90.00
Positions (direct):
In: 0.000 0.500 0.000
In: 0.500 0.000 0.000
In: 0.000 0.000 0.500
Ru: 0.000 0.000 0.000
Pt: 0.500 0.500 0.500

Results
calculated total energy: -4.2187 eV/atom
symmetry: Pm-3m (221)

---

[7]
A relaxed InRuPt2 crystal. Source: the Alexandria database, functional PBE-GGA.

abc: 3.984 2.859 6.398
angles: 63.42 90.00 90.00
Positions (direct):
Ru: 0.500 0.250 0.250
Pt: 0.000 0.985 0.015
Pt: 0.000 0.515 0.485
In: 0.500 0.750 0.750

Results
calculated total energy: -6.1046 eV/atom
symmetry: Pmmm (47)

---

[8]
A relaxed InRuPt2 crystal. Source: the Alexandria database, functional PBE-GGA.

abc: 4.632 2.848 4.937
angles: 90.02 90.00 90.00
Positions (direct):
Pt: 0.500 0.125 0.310
Pt: 0.000 0.125 0.957
Ru: 0.000 0.625 0.433
In: 0.500 0.625 0.799

Results
calculated total energy: -6.1052 eV/atom
symmetry: Pmm2 (25)

---

[9]
A relaxed InRu2Pt crystal. Source: the Alexandria database, functional PBE-GGA.

abc: 2.858 3.817 5.851
angles: 90.00 90.00 90.00
Positions (direct):
Pt: 0.500 0.500 0.756
Ru: 0.500 0.500 0.217
Ru: 0.000 0.000 0.025
In: 0.000 0.000 0.503

Results
calculated total energy: -6.8297 eV/atom
symmetry: Pmm2 (25)

---

[10]
A relaxed InRuPt2 crystal. Source: the Alexandria database, functional PBE-GGA.

abc: 9.105 9.105 9.105
angles: 18.40 18.40 18.40
Positions (direct):
Ru: 0.502 0.502 0.502
In: 0.751 0.751 0.751
Pt: 0.247 0.247 0.247
Pt: 0.000 0.000 0.000

Results
calculated total energy: -5.9396 eV/atom
symmetry: R3m (160)

---

[11]
A relaxed InRu2Pt crystal. Source: the Alexandria database, functional PBE-GGA.

abc: 4.848 4.848 2.834
angles: 90.00 90.00 108.21
Positions (direct):
Pt: 0.000 0.500 0.500
Ru: 0.500 0.500 0.000
Ru: 0.000 0.000 0.000
In: 0.500 0.000 0.500

Results
calculated total energy: -6.6543 eV/atom
symmetry: Cmmm (65)

---

[12]
A relaxed InRuPt2 crystal. Source: the Alexandria database, functional PBE-GGA.

abc: 5.561 5.561 5.561
angles: 150.44 128.35 60.63
Positions (direct):
Pt: 0.999 0.999 0.000
Pt: 0.745 0.245 0.500
In: 0.251 0.751 0.500
Ru: 0.506 0.506 0.000

Results
calculated total energy: -6.0248 eV/atom
symmetry: Imm2 (44)